The following is a PBE calculation of an optimized crystal structure of Rb2Sr2OsO6, from Alexandria.

Geometry as extended XYZ:
```
11
Lattice="6.037 0.060 0.112 -2.932 5.278 0.112 -1.050 -1.804 6.511" Properties=species:S:1:pos:R:3 pbc="T T T"
Rb 4.560 0.920 0.112
Rb -1.454 4.419 0.112
Sr -0.433 2.617 3.368
Sr 2.489 0.917 3.368
Os -0.525 -0.902 3.256
O 1.745 2.999 4.563
O -1.354 0.495 4.380
O 0.311 0.535 2.173
O 1.099 -0.932 4.380
O 3.410 3.039 2.356
O 0.957 4.466 2.356
```

Calculated values
Theoretical density, g cm⁻³: 4.98
Total energy, eV per atom: -6.025
Spin magnetization, μB/atom: 0.1818
E_form (uncorrected), kJ per mole of atoms: -175.4

---

The following is a PBE calculation of an optimized crystal structure of KIn2Rh4, from Alexandria.

Geometry as extended XYZ:
```
7
Lattice="4.723 0.000 0.000 0.000 4.723 0.000 2.361 2.361 6.886" Properties=species:S:1:pos:R:3 pbc="T T T"
K 0.000 0.000 0.000
Rh 4.723 4.723 2.719
Rh 2.361 2.361 4.168
Rh 0.000 2.361 0.000
Rh 2.361 0.000 0.000
In 4.723 4.723 5.256
In 2.361 2.361 1.630
```

Calculated values
Theoretical density, g cm⁻³: 7.36
Total energy, eV per atom: -3.870
Spin magnetization, μB/atom: 0.1575
Energy of formation from the pure elements, eV/atom: 1.270

---

The following is a PBE calculation of an optimized crystal structure of Y2ErSc4, from Alexandria.

Geometry as extended XYZ:
```
7
Lattice="5.219 0.000 0.000 0.000 3.619 0.000 0.000 -1.810 10.531" Properties=species:S:1:pos:R:3 pbc="T T T"
Y 2.610 0.000 1.556
Y 2.610 1.810 8.975
Er 0.000 1.810 0.000
Sc 2.610 1.810 4.169
Sc 0.000 1.810 6.714
Sc 2.610 0.000 6.362
Sc 0.000 0.000 3.817
```

Calculated values
Theoretical density, g cm⁻³: 4.38
Total energy, eV per atom: -5.935
Spin magnetization, μB/atom: 0.0000
Energy relative to the lowest polymorph listed for this composition, meV per atom: 75.2
Energy of formation from the pure elements, eV/atom: 0.181

---

The following is a PBE calculation of an optimized crystal structure of PrP2H2CO6, from Alexandria.

Geometry as extended XYZ:
```
24
Lattice="-1.185 -8.152 1.134 2.779 4.722 6.254 -4.399 0.143 3.046" Properties=species:S:1:pos:R:3 pbc="T T T"
Pr -2.481 -5.148 3.823
Pr -0.323 1.861 6.611
P 0.211 -3.944 5.262
P 1.089 -1.093 6.396
P -3.015 0.657 5.172
P -3.893 -2.194 4.038
H -0.966 -2.292 6.510
H -1.839 -0.995 3.924
H 0.325 -3.061 7.443
H -3.130 -0.226 2.991
C 0.091 -2.600 6.467
C -2.895 -0.686 3.967
O -2.022 1.746 4.666
O -3.486 -3.009 2.775
O -0.783 -5.032 5.768
O 0.681 -0.277 7.660
O -0.471 -3.522 3.911
O 0.567 -0.152 5.252
O -2.334 0.235 6.523
O -3.372 -3.134 5.182
O -0.045 1.007 2.248
O -0.973 -2.006 1.050
O -2.759 -4.294 8.186
O -1.832 -1.281 9.384
```

Calculated values
Theoretical density, g cm⁻³: 3.45
Total energy, eV per atom: -6.911
Spin magnetization, μB/atom: 0.0830

---

The following is a PBE calculation of an optimized crystal structure of U2TiIr9, from Alexandria.

Geometry as extended XYZ:
```
12
Lattice="-0.217 3.219 -2.358 -3.987 -0.075 0.266 0.509 7.084 9.626" Properties=species:S:1:pos:R:3 pbc="T T T"
U 0.167 2.326 3.161
U 0.342 4.758 6.466
Ti 0.000 0.000 0.000
Ir -2.102 1.572 -1.046
Ir -1.934 3.906 2.125
Ir -1.761 6.323 5.410
Ir -0.028 2.735 0.350
Ir 0.146 5.152 3.634
Ir 0.319 7.569 6.919
Ir -1.913 1.088 1.662
Ir -1.739 3.505 4.946
Ir -1.565 5.922 8.230
```

Calculated values
Theoretical density, g cm⁻³: 19.59
Total energy, eV per atom: -9.839
Spin magnetization, μB/atom: 0.0000
Energy of formation from the pure elements, eV/atom: -0.654

---

The following is a PBE calculation of an optimized crystal structure of Li8Cd5Rh, from Alexandria.

Geometry as extended XYZ:
```
14
Lattice="6.927 0.058 -0.100 -2.289 6.538 0.100 -2.349 -3.277 5.634" Properties=species:S:1:pos:R:3 pbc="T T T"
Li -0.734 4.398 0.133
Li 5.021 -1.407 3.657
Li 3.900 0.646 2.171
Li 1.182 -0.296 5.022
Li 1.578 3.284 1.181
Li -0.251 2.983 4.975
Li 0.543 0.666 2.503
Li -2.081 3.004 2.894
Cd 5.947 1.774 0.386
Cd 3.774 5.244 1.251
Cd 2.188 2.365 3.840
Cd 2.289 -1.610 2.767
Cd 1.946 0.592 0.057
Rh -1.175 0.826 4.251
```

Calculated values
Theoretical density, g cm⁻³: 4.68
Total energy, eV per atom: -2.030
Spin magnetization, μB/atom: 0.0000
Energy of formation from the pure elements, eV/atom: -0.085

---

Question: Which formula does entry 4 have?
Answer: PrP2H2CO6